Crystalline La6TbSc at its relaxed geometry, computed with PBE.

The structure belongs to space group Amm2 (No. 38); the cell edges are 5.919, 7.396 and 12.800 Å and the angles 90.00°, 90.00° and 90.00°. Symmetry generates all atoms from La at (0.000, 0.000, 0.000), La at (0.000, 0.241, 0.241), La at (0.500, 0.000, 0.659), La at (0.500, 0.248, 0.411), Tb at (0.000, 0.000, 0.494) and Sc at (0.500, 0.000, 0.161).

The formation energy is 0.03 eV per atom. The crystal system is orthorhombic. The density is 6.148 g cm⁻³. The energy above the lowest structure with this stoichiometry comes out at 9 meV/atom.